{"formula": "ScAl4Ga", "functional": "PBE", "state": "relaxed", "e_above_lowest_polymorph_ev_per_atom": 0.375, "lattice_angstrom": [[5.2186, 0.0000, 0.0000], [0.0000, 5.2186, 0.0000], [-2.6093, -2.6093, 9.7000]], "species": ["Al", "Al", "Al", "Al", "Al", "Al", "Al", "Al", "Ga", "Ga", "Sc", "Sc"], "frac_coords": [[0.1399, 0.3845, 0.2799], [0.1046, 0.8601, 0.7201], [0.6101, 0.3546, 0.2201], [0.6155, 0.8601, 0.7201], [0.1345, 0.3899, 0.7799], [0.1399, 0.8954, 0.2799], [0.6101, 0.8655, 0.2201], [0.6454, 0.3899, 0.7799], [0.5000, 0.5000, 0.0000], [0.2500, 0.7500, 0.5000], [0.7500, 0.2500, 0.5000], [0.0000, 0.0000, 0.0000]]}